1.
The following is a PBEsol calculation of an optimized crystal structure of K2AlAgCl6, from the Alexandria database.

Computed properties:
formation energy from raw total energies = -1472.1 meV/atom
crystal system = cubic
uncorrected energy = -3.644 eV per atom
size of the total moment = 0.000 μB per formula unit

Cell and atoms, written as CIF:
```
data_K2AlAgCl6
_cell_length_a 9.915
_cell_length_b 9.915
_cell_length_c 9.915
_cell_angle_alpha 90.00
_cell_angle_beta 90.00
_cell_angle_gamma 90.00
_symmetry_space_group_name_H-M 'F m -3 m'
_symmetry_Int_Tables_number 225
_symmetry_space_group_name_Hall '-F 4 2 3'
loop_
_atom_site_label
_atom_site_fract_x
_atom_site_fract_y
_atom_site_fract_z
K1 0.250 0.250 0.250
Al1 0.000 0.000 0.000
Ag1 0.000 0.000 0.500
Cl1 0.000 0.000 0.234
```


2.
The following is a PBEsol calculation of an optimized crystal structure of Al2AgCl5O, from the Alexandria database.

Computed properties:
formation energy from raw total energies = -1540.4 meV/atom
crystal system = orthorhombic
uncorrected energy = -4.516 eV per atom
size of the total moment = 0.000 μB per formula unit

Cell and atoms, written as CIF:
```
data_Al2AgCl5O
_cell_length_a 11.244
_cell_length_b 12.315
_cell_length_c 12.917
_cell_angle_alpha 90.00
_cell_angle_beta 90.00
_cell_angle_gamma 90.00
_symmetry_space_group_name_H-M 'P b c a'
_symmetry_Int_Tables_number 61
loop_
_symmetry_equiv_pos_as_xyz
'x,y,z'
'-x,-y,-z'
'-x+1/2,-y,z+1/2'
'x+1/2,y,-z+1/2'
'x+1/2,-y+1/2,-z'
'-x+1/2,y+1/2,z'
'-x,y+1/2,-z+1/2'
'x,-y+1/2,z+1/2'
loop_
_atom_site_label
_atom_site_fract_x
_atom_site_fract_y
_atom_site_fract_z
Al1 0.012 0.107 0.000
Al2 0.209 0.536 0.360
Ag1 0.021 0.657 0.802
Cl1 0.061 0.713 0.613
Cl2 0.114 0.190 0.114
Cl3 0.126 0.523 0.923
Cl4 0.176 0.035 0.712
Cl5 0.216 0.710 0.356
O1 0.089 0.508 0.445
```


3.
The following is a PBEsol calculation of an optimized crystal structure of Rb2AlAgCl6, from the Alexandria database.

Computed properties:
formation energy from raw total energies = -1501.1 meV/atom
crystal system = cubic
uncorrected energy = -3.651 eV per atom
size of the total moment = 0.000 μB per formula unit

Cell and atoms, written as CIF:
```
data_Rb2AlAgCl6
_cell_length_a 9.977
_cell_length_b 9.977
_cell_length_c 9.977
_cell_angle_alpha 90.00
_cell_angle_beta 90.00
_cell_angle_gamma 90.00
_symmetry_space_group_name_H-M 'F m -3 m'
_symmetry_Int_Tables_number 225
_symmetry_space_group_name_Hall '-F 4 2 3'
loop_
_atom_site_label
_atom_site_fract_x
_atom_site_fract_y
_atom_site_fract_z
Rb1 0.250 0.250 0.250
Al1 0.000 0.000 0.000
Ag1 0.000 0.000 0.500
Cl1 0.000 0.000 0.234
```


4.
The following is a PBEsol calculation of an optimized crystal structure of AlCo2Ag2, from the Alexandria database.

Computed properties:
crystal system = tetragonal
uncorrected energy = -4.707 eV per atom
formation energy = 0.5306 eV/atom
size of the total moment = 2.940 μB per formula unit

Cell and atoms, written as CIF:
```
data_AlCo2Ag2
_cell_length_a 3.615
_cell_length_b 3.615
_cell_length_c 11.815
_cell_angle_alpha 90.00
_cell_angle_beta 90.00
_cell_angle_gamma 90.00
_symmetry_space_group_name_H-M 'I 4/m m m'
_symmetry_Int_Tables_number 139
_symmetry_space_group_name_Hall '-I 4 2'
loop_
_atom_site_label
_atom_site_fract_x
_atom_site_fract_y
_atom_site_fract_z
Al1 0.000 0.000 0.000
Co1 0.000 0.000 0.412
Ag1 0.000 0.500 0.250
```


5.
The following is a PBEsol calculation of an optimized crystal structure of Al3CoAg, from the Alexandria database.

Computed properties:
crystal system = cubic
uncorrected energy = -4.652 eV per atom
formation energy = 0.0121 eV/atom
size of the total moment = 0.000 μB per formula unit

Cell and atoms, written as CIF:
```
data_Al3CoAg
_cell_length_a 4.418
_cell_length_b 4.418
_cell_length_c 4.418
_cell_angle_alpha 90.00
_cell_angle_beta 90.00
_cell_angle_gamma 90.00
_symmetry_space_group_name_H-M 'P m -3 m'
_symmetry_Int_Tables_number 221
_symmetry_space_group_name_Hall '-P 4 2 3'
loop_
_atom_site_label
_atom_site_fract_x
_atom_site_fract_y
_atom_site_fract_z
Al1 0.000 0.000 0.500
Co1 0.000 0.000 0.000
Ag1 0.500 0.500 0.500
```


6.
The following is a PBEsol calculation of an optimized crystal structure of Al2CoAg, from the Alexandria database.

Computed properties:
crystal system = orthorhombic
uncorrected energy = -4.940 eV per atom
offset from the most stable computed form = 220 meV per atom
formation energy = -0.1322 eV/atom
size of the total moment = 0.000 μB per formula unit

Cell and atoms, written as CIF:
```
data_Al2CoAg
_cell_length_a 2.896
_cell_length_b 3.540
_cell_length_c 5.434
_cell_angle_alpha 90.00
_cell_angle_beta 90.00
_cell_angle_gamma 90.00
_symmetry_space_group_name_H-M 'P m m 2'
_symmetry_Int_Tables_number 25
loop_
_symmetry_equiv_pos_as_xyz
'x,y,z'
'-x,-y,z'
'-x,y,z'
'x,-y,z'
loop_
_atom_site_label
_atom_site_fract_x
_atom_site_fract_y
_atom_site_fract_z
Al1 0.000 0.000 0.000
Al2 0.500 0.500 0.292
Co1 0.000 0.000 0.453
Ag1 0.500 0.500 0.761
```


7.
The following is a PBEsol calculation of an optimized crystal structure of Al2CoAg, from the Alexandria database.

Computed properties:
crystal system = cubic
uncorrected energy = -4.775 eV per atom
offset from the most stable computed form = 385 meV per atom
formation energy = 0.0330 eV/atom
size of the total moment = 0.003 μB per formula unit

Cell and atoms, written as CIF:
```
data_Al2CoAg
_cell_length_a 6.049
_cell_length_b 6.049
_cell_length_c 6.049
_cell_angle_alpha 90.00
_cell_angle_beta 90.00
_cell_angle_gamma 90.00
_symmetry_space_group_name_H-M 'F -4 3 m'
_symmetry_Int_Tables_number 216
_symmetry_space_group_name_Hall 'F -4 2 3'
loop_
_atom_site_label
_atom_site_fract_x
_atom_site_fract_y
_atom_site_fract_z
Al1 0.000 0.000 0.000
Al2 0.250 0.250 0.250
Co1 0.000 0.000 0.500
Ag1 0.250 0.250 0.750
```


8.
The following is a PBEsol calculation of an optimized crystal structure of AlCoAg, from the Alexandria database.

Computed properties:
crystal system = cubic
uncorrected energy = -4.532 eV per atom
formation energy = 0.5146 eV/atom
size of the total moment = 1.173 μB per formula unit

Cell and atoms, written as CIF:
```
data_AlCoAg
_cell_length_a 5.818
_cell_length_b 5.818
_cell_length_c 5.818
_cell_angle_alpha 90.00
_cell_angle_beta 90.00
_cell_angle_gamma 90.00
_symmetry_space_group_name_H-M 'F -4 3 m'
_symmetry_Int_Tables_number 216
_symmetry_space_group_name_Hall 'F -4 2 3'
loop_
_atom_site_label
_atom_site_fract_x
_atom_site_fract_y
_atom_site_fract_z
Al1 0.000 0.000 0.000
Co1 0.000 0.000 0.500
Ag1 0.250 0.250 0.750
```


9.
The following is a PBEsol calculation of an optimized crystal structure of AlCo2Ag, from the Alexandria database.

Computed properties:
crystal system = tetragonal
uncorrected energy = -5.707 eV per atom
formation energy = 0.0120 eV/atom
size of the total moment = 1.389 μB per formula unit

Cell and atoms, written as CIF:
```
data_AlCo2Ag
_cell_length_a 2.827
_cell_length_b 2.827
_cell_length_c 6.201
_cell_angle_alpha 90.00
_cell_angle_beta 90.00
_cell_angle_gamma 90.00
_symmetry_space_group_name_H-M 'P 4/m m m'
_symmetry_Int_Tables_number 123
_symmetry_space_group_name_Hall '-P 4 2'
loop_
_atom_site_label
_atom_site_fract_x
_atom_site_fract_y
_atom_site_fract_z
Al1 0.000 0.000 0.000
Co1 0.500 0.500 0.220
Ag1 0.000 0.000 0.500
```


10.
The following is a PBEsol calculation of an optimized crystal structure of AlCo2Ag, from the Alexandria database.

Computed properties:
crystal system = trigonal
uncorrected energy = -5.613 eV per atom
formation energy = 0.1060 eV/atom
size of the total moment = 3.009 μB per formula unit

Cell and atoms, written as CIF:
```
data_AlCo2Ag
_cell_length_a 2.6828
_cell_length_b 2.6828
_cell_length_c 25.0176
_cell_angle_alpha 90.00
_cell_angle_beta 90.00
_cell_angle_gamma 120.00
_symmetry_space_group_name_H-M 'R 3 m'
_symmetry_Int_Tables_number 160
_symmetry_space_group_name_Hall 'R 3 -2"'
loop_
_atom_site_label
_atom_site_fract_x
_atom_site_fract_y
_atom_site_fract_z
Al1 0.0000 0.0000 0.0000
Co1 0.0000 0.0000 0.2560
Co2 0.0000 0.0000 0.5167
Ag1 0.0000 0.0000 0.7598
```


11.
The following is a PBEsol calculation of an optimized crystal structure of AlCo2Ag, from the Alexandria database.

Computed properties:
crystal system = trigonal
uncorrected energy = -5.609 eV per atom
formation energy = 0.1103 eV/atom
size of the total moment = 1.776 μB per formula unit

Cell and atoms, written as CIF:
```
data_AlCo2Ag
_cell_length_a 2.6653
_cell_length_b 2.6653
_cell_length_c 24.6897
_cell_angle_alpha 90.00
_cell_angle_beta 90.00
_cell_angle_gamma 120.00
_symmetry_space_group_name_H-M 'R -3 m'
_symmetry_Int_Tables_number 166
_symmetry_space_group_name_Hall '-R 3 2"'
loop_
_atom_site_label
_atom_site_fract_x
_atom_site_fract_y
_atom_site_fract_z
Al1 0.0000 0.0000 0.0000
Co1 0.0000 0.0000 0.2565
Ag1 0.0000 0.0000 0.5000
```


12.
The following is a PBEsol calculation of an optimized crystal structure of Al2CoAg, from the Alexandria database.

Computed properties:
crystal system = tetragonal
uncorrected energy = -5.160 eV per atom
offset from the most stable computed form = 0 meV per atom
formation energy = -0.3522 eV/atom
size of the total moment = 0.494 μB per formula unit

Cell and atoms, written as CIF:
```
data_Al2CoAg
_cell_length_a 2.855
_cell_length_b 2.855
_cell_length_c 6.660
_cell_angle_alpha 90.00
_cell_angle_beta 90.00
_cell_angle_gamma 90.00
_symmetry_space_group_name_H-M 'P 4/m m m'
_symmetry_Int_Tables_number 123
_symmetry_space_group_name_Hall '-P 4 2'
loop_
_atom_site_label
_atom_site_fract_x
_atom_site_fract_y
_atom_site_fract_z
Al1 0.000 0.000 0.208
Co1 0.500 0.500 0.000
Ag1 0.500 0.500 0.500
```


13.
The following is a PBEsol calculation of an optimized crystal structure of AlCo2Ag, from the Alexandria database.

Computed properties:
crystal system = monoclinic
uncorrected energy = -5.630 eV per atom
formation energy = 0.0893 eV/atom
size of the total moment = 2.369 μB per formula unit

Cell and atoms, written as CIF:
```
data_AlCo2Ag
_cell_length_a 8.661
_cell_length_b 2.728
_cell_length_c 4.446
_cell_angle_alpha 90.00
_cell_angle_beta 104.63
_cell_angle_gamma 90.00
_symmetry_space_group_name_H-M 'C 1 2/m 1'
_symmetry_Int_Tables_number 12
loop_
_symmetry_equiv_pos_as_xyz
'x,y,z'
'-x,-y,-z'
'-x,y,-z'
'x,-y,z'
'x+1/2,y+1/2,z'
'-x+1/2,-y+1/2,-z'
'-x+1/2,y+1/2,-z'
'x+1/2,-y+1/2,z'
loop_
_atom_site_label
_atom_site_fract_x
_atom_site_fract_y
_atom_site_fract_z
Al1 0.000 0.000 0.000
Co1 0.240 0.500 0.226
Ag1 0.000 0.500 0.500
```